Here is crystalline MgB6 at its relaxed geometry from Alexandria. Energies are from PBE.

extended XYZ file:
```
7
Lattice="-1.108 -3.532 1.790 3.959 -0.957 0.563 -0.067 1.875 3.659" Properties=species:S:1:pos:R:3 pbc="T T T"
B 0.208 -1.021 2.837
B 2.576 -1.593 3.174
B 1.412 -1.868 1.912
B 1.061 -2.363 3.541
B 1.372 -0.746 4.100
B 1.723 -0.251 2.471
Mg 0.000 0.000 0.000
```

Properties
* space-group type: Pm-3m (221)
* density: 2.1 g cm⁻³
* final energy: -5.949 eV/atom
* energy of formation from the pure elements: 1.8 meV per atom
* N(E_F): 0.006 states/eV per atom